No. 1
An optimized crystal structure of K2VSiS4. Source: the Alexandria database, functional PBE-GGA.

Results
As for the size of the total moment: 0.38 μB/atom. The volume comes out at 201.29 Å³/f.u. The formation energy without anion corrections comes out at -0.91 eV/atom. The total energy comes out at -5.062 eV per atom.

Cell lengths 6.4211, 6.4211, 6.4211 Å; angles 102.07, 113.29, 113.29 degrees
Closest atoms and distances in Å follow each position.
Atoms (fractional coordinates):
S (0.0793, 0.2199, 0.5806)  1 Si 2.16, 1 V 2.39
S (0.6394, 0.4194, 0.4987)  1 Si 2.16, 1 V 2.39
S (0.3606, 0.8594, 0.7801)  1 Si 2.16, 1 V 2.39
S (0.9207, 0.5013, 0.1406)  1 Si 2.16, 1 V 2.39
Si (0.0000, 0.5000, 0.5000)  4 S 2.16
V (0.5000, 0.2500, 0.7500)  4 S 2.39
K (0.0000, 0.0000, 0.0000)  8 S 3.41-3.45
K (0.5000, 0.7500, 0.2500)  4 S 3.11


No. 2
An optimized crystal structure of CdGa2Ag4. Source: the Alexandria database, functional PBE-GGA.

Results
As for the size of the total moment: 0.00 μB/atom. For the energy above the most stable polymorph in this dataset, the calculation gives 0.102 eV/atom. The volume comes out at 151.85 Å³/f.u. The total energy comes out at -2.483 eV per atom.

Cell lengths 3.9198, 3.9198, 10.2642 Å; angles 101.01, 101.01, 90.00 degrees
Closest atoms and distances in Å follow each position.
Atoms (fractional coordinates):
Ga (0.6344, 0.6344, 0.2689)  8 Ag 2.77-3.01
Ga (0.3656, 0.3656, 0.7311)  8 Ag 2.77-3.01
Ag (0.7500, 0.2500, 0.5000)  8 Ag 2.77-2.96, 4 Ga 3.01
Ag (0.8625, 0.8625, 0.7250)  1 Cd 2.72, 4 Ga 2.77, 4 Ag 2.96
Ag (0.2500, 0.7500, 0.5000)  8 Ag 2.77-2.96, 4 Ga 3.01
Ag (0.1375, 0.1375, 0.2750)  1 Cd 2.72, 4 Ga 2.77, 4 Ag 2.96
Cd (0.0000, 0.0000, 0.0000)  2 Ag 2.72


What did the first record say?
An optimized crystal structure of K2VSiS4. Source: the Alexandria database, functional PBE-GGA.

Results
As for the size of the total moment: 0.38 μB/atom. The volume comes out at 201.29 Å³/f.u. The formation energy without anion corrections comes out at -0.91 eV/atom. The total energy comes out at -5.062 eV per atom.

Cell lengths 6.4211, 6.4211, 6.4211 Å; angles 102.07, 113.29, 113.29 degrees
Closest atoms and distances in Å follow each position.
Atoms (fractional coordinates):
S (0.0793, 0.2199, 0.5806)  1 Si 2.16, 1 V 2.39
S (0.6394, 0.4194, 0.4987)  1 Si 2.16, 1 V 2.39
S (0.3606, 0.8594, 0.7801)  1 Si 2.16, 1 V 2.39
S (0.9207, 0.5013, 0.1406)  1 Si 2.16, 1 V 2.39
Si (0.0000, 0.5000, 0.5000)  4 S 2.16
V (0.5000, 0.2500, 0.7500)  4 S 2.39
K (0.0000, 0.0000, 0.0000)  8 S 3.41-3.45
K (0.5000, 0.7500, 0.2500)  4 S 3.11


> Which of these has the lowest size of the total moment?

CdGa2Ag4


What did the second record say?
An optimized crystal structure of CdGa2Ag4. Source: the Alexandria database, functional PBE-GGA.

Results
As for the size of the total moment: 0.00 μB/atom. For the energy above the most stable polymorph in this dataset, the calculation gives 0.102 eV/atom. The volume comes out at 151.85 Å³/f.u. The total energy comes out at -2.483 eV per atom.

Cell lengths 3.9198, 3.9198, 10.2642 Å; angles 101.01, 101.01, 90.00 degrees
Closest atoms and distances in Å follow each position.
Atoms (fractional coordinates):
Ga (0.6344, 0.6344, 0.2689)  8 Ag 2.77-3.01
Ga (0.3656, 0.3656, 0.7311)  8 Ag 2.77-3.01
Ag (0.7500, 0.2500, 0.5000)  8 Ag 2.77-2.96, 4 Ga 3.01
Ag (0.8625, 0.8625, 0.7250)  1 Cd 2.72, 4 Ga 2.77, 4 Ag 2.96
Ag (0.2500, 0.7500, 0.5000)  8 Ag 2.77-2.96, 4 Ga 3.01
Ag (0.1375, 0.1375, 0.2750)  1 Cd 2.72, 4 Ga 2.77, 4 Ag 2.96
Cd (0.0000, 0.0000, 0.0000)  2 Ag 2.72


Copy entry 1 word for word.
An optimized crystal structure of K2VSiS4. Source: the Alexandria database, functional PBE-GGA.

Results
As for the size of the total moment: 0.38 μB/atom. The volume comes out at 201.29 Å³/f.u. The formation energy without anion corrections comes out at -0.91 eV/atom. The total energy comes out at -5.062 eV per atom.

Cell lengths 6.4211, 6.4211, 6.4211 Å; angles 102.07, 113.29, 113.29 degrees
Closest atoms and distances in Å follow each position.
Atoms (fractional coordinates):
S (0.0793, 0.2199, 0.5806)  1 Si 2.16, 1 V 2.39
S (0.6394, 0.4194, 0.4987)  1 Si 2.16, 1 V 2.39
S (0.3606, 0.8594, 0.7801)  1 Si 2.16, 1 V 2.39
S (0.9207, 0.5013, 0.1406)  1 Si 2.16, 1 V 2.39
Si (0.0000, 0.5000, 0.5000)  4 S 2.16
V (0.5000, 0.2500, 0.7500)  4 S 2.39
K (0.0000, 0.0000, 0.0000)  8 S 3.41-3.45
K (0.5000, 0.7500, 0.2500)  4 S 3.11